K2Hg2OsO4 | GGA-PBE | optimized geometry

Values from the calculation:
- Uncorrected energy: -41.354 eV for the cell shown
- E_form (uncorrected): -0.83 eV per atom
- Mass density: 6.46 g/cm3
- Total magnetization: 0.83 μB/cell

Lattice parameters (Å, degrees): 6.3313 6.3313 6.3313 97.01 116.04 116.04
Closest atoms and distances in Å follow each position.
Positions (direct):
K (0.5000, 0.7500, 0.2500)  8 O 3.21, 4 Hg 3.43
K (0.5000, 0.2500, 0.7500)  8 O 3.21, 4 Hg 3.43
Hg (0.0000, 0.6612, 0.6612)  1 Hg 2.71, 1 Os 2.84
Hg (0.0000, 0.3388, 0.3388)  1 Hg 2.71, 1 Os 2.84
O (0.0000, 0.1957, 0.8043)  1 Os 1.86
O (0.3914, 0.1957, 0.1957)  1 Os 1.86
O (0.6086, 0.8043, 0.8043)  1 Os 1.86
O (0.0000, 0.8043, 0.1957)  1 Os 1.86
Os (0.0000, 0.0000, 0.0000)  4 O 1.86


RbYN3 | GGA-PBE | optimized geometry

Values from the calculation:
- Uncorrected energy: -22.071 eV for the cell shown
- E_form (uncorrected): 2.07 eV per atom
- Mass density: 4.85 g/cm3
- Total magnetization: 0.00 μB/cell

Lattice parameters (Å, degrees): 4.1987 4.1987 4.1987 90.00 90.00 90.00
Closest atoms and distances in Å follow each position.
Positions (direct):
N (0.0000, 0.5000, 0.0000)  2 Rb 2.10
N (0.5000, 0.0000, 0.0000)  2 Rb 2.10
N (0.0000, 0.0000, 0.5000)  2 Rb 2.10
Y (0.5000, 0.5000, 0.5000)  12 N 2.97
Rb (0.0000, 0.0000, 0.0000)  6 N 2.10


NaLiCl2 | GGA-PBE | optimized geometry

Values from the calculation:
- Uncorrected energy: -14.007 eV for the cell shown
- E_form (uncorrected): -1.77 eV per atom
- Mass density: 2.06 g/cm3
- Total magnetization: 0.00 μB/cell

Lattice parameters (Å, degrees): 3.8630 3.8630 5.4589 90.00 90.00 90.00
Closest atoms and distances in Å follow each position.
Positions (direct):
Li (0.0000, 0.0000, 0.0000)  6 Cl 2.73
Na (0.5000, 0.5000, 0.5000)  6 Cl 2.73
Cl (0.5000, 0.5000, 0.0000)  2 Na 2.73, 4 Li 2.73
Cl (0.0000, 0.0000, 0.5000)  2 Li 2.73, 4 Na 2.73


NaCa2Au2 | GGA-PBE | optimized geometry

Values from the calculation:
- Uncorrected energy: -28.964 eV for the cell shown
- Offset from the most stable computed form: 113 meV per atom
- Mass density: 6.24 g/cm3
- Total magnetization: 0.00 μB/cell

Lattice parameters (Å, degrees): 8.6038 8.6038 3.5748 90.00 90.00 90.00
Closest atoms and distances in Å follow each position.
Positions (direct):
Au (0.6459, 0.8541, 0.5000)  6 Ca 3.08-3.10
Au (0.8541, 0.3541, 0.5000)  6 Ca 3.08-3.10
Au (0.3541, 0.1459, 0.5000)  6 Ca 3.08-3.10
Au (0.1459, 0.6459, 0.5000)  6 Ca 3.08-3.10
Ca (0.6459, 0.1459, 0.0000)  6 Au 3.08-3.10, 2 Na 3.30
Ca (0.3541, 0.8541, 0.0000)  6 Au 3.08-3.10, 2 Na 3.30
Ca (0.8541, 0.6459, 0.0000)  6 Au 3.08-3.10, 2 Na 3.30
Ca (0.1459, 0.3541, 0.0000)  6 Au 3.08-3.10, 2 Na 3.30
Na (0.5000, 0.5000, 0.0000)  4 Ca 3.30, 2 Na 3.57
Na (0.0000, 0.0000, 0.0000)  4 Ca 3.30, 2 Na 3.57


Mg4Ga5Ni3 | GGA-PBE | optimized geometry

Values from the calculation:
- Uncorrected energy: -40.625 eV for the cell shown
- Mass density: 5.27 g/cm3
- Total magnetization: 0.00 μB/cell

Lattice parameters (Å, degrees): 4.7624 6.7582 7.4852 117.62 90.00 110.63
Closest atoms and distances in Å follow each position.
Positions (direct):
Ga (0.6682, 0.3363, 0.8544)  4 Ni 2.44-2.66
Ga (0.4220, 0.8439, 0.7961)  1 Ni 2.44, 1 Ga 2.69
Ga (0.0000, 0.0000, 0.5000)  4 Ni 2.38-2.47
Ga (0.5780, 0.1561, 0.2039)  1 Ni 2.44, 1 Ga 2.69
Ga (0.3318, 0.6637, 0.1456)  4 Ni 2.44-2.66
Ni (0.5000, 0.0000, 0.5000)  4 Ga 2.38-2.44
Ni (0.7814, 0.5629, 0.2424)  5 Ga 2.44-2.66, 1 Mg 2.62
Ni (0.2186, 0.4371, 0.7576)  5 Ga 2.44-2.66, 1 Mg 2.62
Mg (0.9224, 0.8448, 0.0783)  1 Ni 2.62, 1 Mg 2.74, 6 Ga 2.79-2.93
Mg (0.2202, 0.4404, 0.3835)  4 Ga 2.77-2.88, 3 Ni 2.81-2.86, 3 Mg 2.82-3.00
Mg (0.7798, 0.5596, 0.6165)  4 Ga 2.77-2.88, 3 Ni 2.81-2.86, 3 Mg 2.82-3.00
Mg (0.0776, 0.1552, 0.9217)  1 Ni 2.62, 1 Mg 2.74, 6 Ga 2.79-2.93


Ce5PuSn3 | GGA-PBE | optimized geometry

Values from the calculation:
- Uncorrected energy: -119.106 eV for the cell shown
- Offset from the most stable computed form: 77 meV per atom
- Mass density: 8.73 g/cm3
- Total magnetization: 20.33 μB/cell

Lattice parameters (Å, degrees): 8.6270 8.6270 9.0253 118.55 118.55 90.00
Closest atoms and distances in Å follow each position.
Positions (direct):
Ce (0.0341, 0.5341, 0.6888)  1 Pu 2.63, 1 Ce 2.91
Ce (0.4659, 0.3453, 0.3112)  1 Pu 2.63, 1 Ce 2.91
Ce (0.6547, 0.1547, 0.6888)  1 Pu 2.63, 1 Ce 2.91
Ce (0.8453, 0.9659, 0.3112)  1 Pu 2.63, 1 Ce 2.91
Ce (0.5000, 0.5000, 0.0000)  6 Sn 3.33-3.45
Ce (0.1547, 0.0341, 0.6888)  1 Pu 2.63, 1 Ce 2.91
Ce (0.0000, 0.0000, 0.0000)  6 Sn 3.33-3.45
Ce (0.3453, 0.8453, 0.3112)  1 Pu 2.63, 1 Ce 2.91
Ce (0.5341, 0.6547, 0.6888)  1 Pu 2.63, 1 Ce 2.91
Ce (0.9659, 0.4659, 0.3112)  1 Pu 2.63, 1 Ce 2.91
Sn (0.8817, 0.6183, 0.0000)  1 Sn 2.89, 2 Ce 3.13
Sn (0.1183, 0.3817, 0.0000)  1 Sn 2.89, 2 Ce 3.13
Sn (0.3817, 0.8817, 0.0000)  1 Sn 2.89, 2 Ce 3.13
Sn (0.2500, 0.2500, 0.5000)  10 Ce 3.33-3.38
Sn (0.6183, 0.1183, 0.0000)  1 Sn 2.89, 2 Ce 3.13
Sn (0.7500, 0.7500, 0.5000)  10 Ce 3.33-3.38
Pu (0.2500, 0.7500, 0.5000)  4 Ce 2.63
Pu (0.7500, 0.2500, 0.5000)  4 Ce 2.63


RbMgAu | GGA-PBE | optimized geometry

Values from the calculation:
- Uncorrected energy: -6.495 eV for the cell shown
- Offset from the most stable computed form: 106 meV per atom
- Mass density: 4.88 g/cm3
- Total magnetization: 0.00 μB/cell

Lattice parameters (Å, degrees): 5.4618 4.6978 4.6978 120.00 90.00 90.00
Closest atoms and distances in Å follow each position.
Positions (direct):
Mg (0.1671, 0.3333, 0.6667)  3 Au 2.71
Au (0.1662, 0.0000, 0.0000)  3 Mg 2.71
Rb (0.6666, 0.6667, 0.3333)  6 Mg 3.85, 6 Au 3.85


CaY2In | GGA-PBE | optimized geometry

Values from the calculation:
- Uncorrected energy: -18.251 eV for the cell shown
- Mass density: 4.53 g/cm3
- Total magnetization: 0.00 μB/cell

Lattice parameters (Å, degrees): 4.6575 3.6721 8.0234 62.74 90.00 90.00
Closest atoms and distances in Å follow each position.
Positions (direct):
Y (0.0000, 0.0218, 0.9771)  1 Y 3.24, 4 In 3.38, 4 Ca 3.54-3.55
Y (0.0000, 0.4782, 0.5229)  1 Y 3.24, 4 In 3.38, 4 Ca 3.54-3.55
In (0.5000, 0.7500, 0.7500)  8 Y 3.38, 2 Ca 3.57, 2 In 3.67
Ca (0.5000, 0.2500, 0.2500)  8 Y 3.54-3.55, 2 In 3.57, 2 Ca 3.67


SrBeCo2 | GGA-PBE | optimized geometry

Values from the calculation:
- Uncorrected energy: -35.630 eV for the cell shown
- Mass density: 4.78 g/cm3
- Total magnetization: 0.00 μB/cell

Lattice parameters (Å, degrees): 4.4208 4.4208 8.2350 74.43 74.43 90.00
Closest atoms and distances in Å follow each position.
Positions (direct):
Co (0.3752, 0.1250, 0.2500)  2 Be 2.20, 2 Co 2.21
Co (0.3750, 0.6248, 0.7500)  2 Be 2.20, 2 Co 2.21
Co (0.8750, 0.6252, 0.7500)  2 Be 2.20, 2 Co 2.21
Co (0.3748, 0.6250, 0.2500)  2 Be 2.20, 2 Co 2.21
Sr (0.7500, 0.2500, 0.5000)  8 Co 3.12, 4 Be 3.13
Sr (0.0000, 0.0000, 0.0000)  8 Co 3.12, 4 Be 3.13
Be (0.2500, 0.7500, 0.5000)  4 Co 2.20
Be (0.5000, 0.5000, 0.0000)  4 Co 2.20


CdReTe2Os | GGA-PBE | optimized geometry

Values from the calculation:
- Uncorrected energy: -18.241 eV for the cell shown
- E_form (uncorrected): 2.53 eV per atom
- Mass density: 8.71 g/cm3
- Total magnetization: 5.28 μB/cell

Lattice parameters (Å, degrees): 5.3178 5.0137 5.3178 90.00 90.00 90.00
Closest atoms and distances in Å follow each position.
Positions (direct):
Os (0.0000, 0.5000, 0.0000)  2 Cd 2.51
Te (0.5000, 0.0000, 0.0000)  2 Cd 2.66
Te (0.0000, 0.0000, 0.5000)  2 Cd 2.66
Cd (0.0000, 0.0000, 0.0000)  2 Os 2.51, 4 Te 2.66
Re (0.5000, 0.5000, 0.5000)  8 Te 3.65, 4 Os 3.76


Tb2Sc3Ni2 | GGA-PBE | optimized geometry

Values from the calculation:
- Uncorrected energy: -41.380 eV for the cell shown
- Offset from the most stable computed form: 47 meV per atom
- Mass density: 6.12 g/cm3
- Total magnetization: 0.00 μB/cell

Lattice parameters (Å, degrees): 4.5312 5.8371 7.0154 113.17 90.00 112.84
Closest atoms and distances in Å follow each position.
Positions (direct):
Tb (0.1405, 0.2811, 0.8069)  2 Ni 2.83-2.89
Tb (0.8595, 0.7189, 0.1931)  2 Ni 2.83-2.89
Sc (0.6433, 0.2865, 0.4651)  3 Ni 2.55-2.85
Sc (0.5000, 0.0000, 0.0000)  4 Ni 2.73, 2 Sc 2.95
Sc (0.3567, 0.7135, 0.5349)  3 Ni 2.55-2.85
Ni (0.8731, 0.7462, 0.7899)  5 Sc 2.55-2.85, 1 Tb 2.83
Ni (0.1269, 0.2538, 0.2101)  5 Sc 2.55-2.85, 1 Tb 2.83


GeBiP3 | GGA-PBE | optimized geometry

Values from the calculation:
- Uncorrected energy: -20.959 eV for the cell shown
- Offset from the most stable computed form: 0 meV per atom
- Mass density: 5.81 g/cm3
- Total magnetization: 0.00 μB/cell

Lattice parameters (Å, degrees): 4.7492 4.7492 4.7492 90.00 90.00 90.00
Closest atoms and distances in Å follow each position.
Positions (direct):
Bi (0.5000, 0.5000, 0.5000)  12 P 3.36
Ge (0.0000, 0.0000, 0.0000)  6 P 2.37
P (0.5000, 0.0000, 0.0000)  2 Ge 2.37
P (0.0000, 0.5000, 0.0000)  2 Ge 2.37
P (0.0000, 0.0000, 0.5000)  2 Ge 2.37